La2ErTm4 | Alexandria | PBE | optimized geometry; Fermi-level density of states = 11.10 states/eV/f.u.; formation enthalpy at 0 K = 0.085 eV per atom; VASP energy = -4.530 eV per atom
1.0
8.402 0.065 1.668
-0.350 9.547 -2.398
-2.645 -6.762 6.775
La Tm Er
4 8 2
direct
0.559 0.494 0.730
0.126 0.248 0.624
0.624 0.575 0.450
0.690 0.935 0.450
0.986 0.707 0.803
0.481 0.246 0.852
0.771 0.106 0.253
0.336 0.881 0.174
0.848 0.237 0.033
0.264 0.578 0.231
0.403 0.931 0.886
0.914 0.600 0.051
0.191 0.320 0.333
0.058 0.894 0.632